Computed, not measured: crystalline KMoPO5 at its relaxed geometry at the PBE with a Hubbard U level of DFT.

a = 5.7747 Å, b = 5.7747 Å, c = 7.4996 Å
α = 105.68°, β = 105.68°, γ = 105.27°
Closest atoms and distances in Å follow each position.
Fractional positions:
K  0.1676  0.8324  0.7500  7 O 2.56-2.83
K  0.8324  0.1676  0.2500  7 O 2.56-2.83
Mo  0.5000  0.5000  0.0000  6 O 1.94-2.17
Mo  0.5000  0.5000  0.5000  6 O 1.94-2.17
P  0.1877  0.8123  0.2500  4 O 1.56
P  0.8123  0.1877  0.7500  4 O 1.56
O  0.0969  0.2689  0.8910  1 P 1.56
O  0.2008  0.6340  0.3733  1 P 1.56
O  0.2689  0.0969  0.3910  1 P 1.56
O  0.3660  0.7992  0.1267  1 P 1.56
O  0.4462  0.5538  0.7500  2 Mo 1.94
O  0.5538  0.4462  0.2500  2 Mo 1.94
O  0.6340  0.2008  0.8733  1 P 1.56
O  0.7311  0.9031  0.6090  1 P 1.56
O  0.7992  0.3660  0.6267  1 P 1.56
O  0.9031  0.7311  0.1090  1 P 1.56

Computed properties:
M_tot: 2.00 μB per formula unit
VASP energy: -6.859 eV/atom